1.
# PrGdSi4Ag2

A relaxed PrGdSi4Ag2 crystal (PBE, OQMD).

Lattice parameters (Å, degrees): 4.213 9.059 9.059 26.69 90.00 90.00
Fractional positions:
Si1 0.500 0.467 0.467
Si2 0.000 0.663 0.663
Si3 0.500 0.337 0.337
Si4 0.000 0.531 0.531
Ag1 0.500 0.752 0.752
Ag2 0.000 0.250 0.250
Pr1 0.500 0.096 0.096
Gd1 0.000 0.904 0.904

Computed properties:
- Space-group type: Amm2, No. 38
- Total DFT energy (no corrections): -5.098 eV/atom

=====

2.
# PrGd2Ag4Sn4

A relaxed PrGd2Ag4Sn4 crystal (PBE, OQMD).

Lattice parameters (Å, degrees): 8.858 8.858 8.858 149.98 130.32 59.15
Fractional positions:
Ag1 0.633 0.329 0.304
Ag2 0.026 0.329 0.696
Ag3 0.974 0.671 0.304
Ag4 0.367 0.671 0.696
Sn1 0.692 0.500 0.192
Sn2 0.782 0.782 0.000
Sn3 0.218 0.218 0.000
Sn4 0.308 0.500 0.808
Gd1 0.372 0.872 0.500
Gd2 0.628 0.128 0.500
Pr1 0.000 0.000 0.000

Computed properties:
- Space-group type: Immm, No. 71
- Total DFT energy (no corrections): -4.300 eV/atom

=====

3.
# PrGdAg2Sn2

A relaxed PrGdAg2Sn2 crystal (PBE, OQMD).

Lattice parameters (Å, degrees): 4.783 4.783 7.528 90.00 90.00 120.00
Fractional positions:
Ag1 0.333 0.667 0.963
Ag2 0.667 0.333 0.447
Sn1 0.333 0.667 0.531
Sn2 0.667 0.333 0.043
Pr1 0.000 0.000 0.758
Gd1 0.000 0.000 0.259

Computed properties:
- Space-group type: P3m1, No. 156
- Total DFT energy (no corrections): -4.468 eV/atom

=====

4.
# Pr2GdAg4Sn4

A relaxed Pr2GdAg4Sn4 crystal (PBE, OQMD).

Lattice parameters (Å, degrees): 8.900 8.900 8.900 149.55 131.25 58.58
Fractional positions:
Sn1 0.213 0.213 0.000
Sn2 0.301 0.500 0.801
Sn3 0.787 0.787 0.000
Sn4 0.699 0.500 0.199
Ag1 0.633 0.329 0.304
Ag2 0.025 0.329 0.696
Ag3 0.367 0.671 0.696
Ag4 0.975 0.671 0.304
Pr1 0.371 0.871 0.500
Pr2 0.629 0.129 0.500
Gd1 0.000 0.000 0.000

Computed properties:
- Space-group type: Immm, No. 71
- Total DFT energy (no corrections): -4.318 eV/atom

=====

5.
# GdAgPt4

A relaxed GdAgPt4 crystal (PBE, OQMD).

Lattice parameters (Å, degrees): 5.371 5.371 5.371 60.00 60.00 60.00
Fractional positions:
Gd1 0.250 0.250 0.250
Pt1 0.625 0.124 0.625
Pt2 0.124 0.625 0.625
Pt3 0.625 0.625 0.625
Pt4 0.625 0.625 0.124
Ag1 0.000 0.000 0.000

Computed properties:
- Space-group type: F-43m, No. 216
- DFT formation energy: -4.4 eV/f.u.

=====

6.
# Gd4AgPt3

A relaxed Gd4AgPt3 crystal (PBE, OQMD).

Lattice parameters (Å, degrees): 5.652 4.609 7.156 90.00 90.19 90.00
Fractional positions:
Gd1 0.650 0.500 0.179
Gd2 0.360 0.000 0.829
Gd3 0.134 0.000 0.305
Gd4 0.853 0.500 0.691
Pt1 0.844 0.000 0.954
Pt2 0.646 0.000 0.461
Pt3 0.162 0.500 0.043
Ag1 0.350 0.500 0.538

Computed properties:
- Space-group type: Pm, No. 6
- DFT formation energy: -8.2 eV/f.u.

=====

7.
# GdAgPt

A relaxed GdAgPt crystal (PBE, OQMD).

Lattice parameters (Å, degrees): 4.671 4.671 4.671 60.00 60.00 60.00
Fractional positions:
Pt1 0.000 0.000 0.000
Gd1 0.750 0.750 0.750
Ag1 0.250 0.250 0.250

Computed properties:
- Space-group type: F-43m, No. 216
- DFT formation energy: -2.0 eV/f.u.

=====

8.
# Gd2Si4AgPt

A relaxed Gd2Si4AgPt crystal (PBE, OQMD).

Lattice parameters (Å, degrees): 4.139 9.027 9.027 26.48 90.00 90.00
Fractional positions:
Si1 0.500 0.755 0.755
Si2 0.000 0.255 0.255
Si3 0.000 0.530 0.530
Si4 0.500 0.463 0.463
Ag1 0.000 0.668 0.668
Pt1 0.500 0.328 0.328
Gd1 0.000 0.903 0.903
Gd2 0.500 0.098 0.098

Computed properties:
- Space-group type: Amm2, No. 38
- Total DFT energy (no corrections): -5.661 eV/atom

=====

9.
# Tb2GdTl3AgPt2

A relaxed Tb2GdTl3AgPt2 crystal (PBE, OQMD).

Lattice parameters (Å, degrees): 3.795 7.952 7.952 120.05 90.00 90.00
Fractional positions:
Ag1 0.000 0.000 0.000
Tl1 0.500 0.270 0.270
Tl2 0.500 0.730 0.000
Tl3 0.500 0.000 0.730
Tb1 0.000 0.000 0.410
Tb2 0.000 0.410 0.000
Pt1 0.500 0.667 0.333
Pt2 0.500 0.333 0.667
Gd1 0.000 0.590 0.590

Computed properties:
- Space-group type: Amm2, No. 38
- Total DFT energy (no corrections): -4.659 eV/atom

=====

10.
# TbGd2Tl3AgPt2

A relaxed TbGd2Tl3AgPt2 crystal (PBE, OQMD).

Lattice parameters (Å, degrees): 3.804 7.951 7.951 119.94 90.00 90.00
Fractional positions:
Pt1 0.500 0.666 0.334
Pt2 0.500 0.334 0.666
Gd1 0.000 0.411 0.000
Gd2 0.000 0.000 0.411
Tl1 0.500 0.731 0.000
Tl2 0.500 0.000 0.731
Tl3 0.500 0.269 0.269
Tb1 0.000 0.589 0.589
Ag1 0.000 0.000 0.000

Computed properties:
- Space-group type: Amm2, No. 38
- Total DFT energy (no corrections): -4.663 eV/atom

=====

11.
# Gd2TmTl3AgPt2

A relaxed Gd2TmTl3AgPt2 crystal (PBE, OQMD).

Lattice parameters (Å, degrees): 3.780 7.927 7.927 119.73 90.00 90.00
Fractional positions:
Tm1 0.000 0.411 0.411
Gd1 0.000 0.590 0.000
Gd2 0.000 0.000 0.590
Pt1 0.500 0.663 0.335
Pt2 0.500 0.335 0.663
Tl1 0.500 0.730 0.730
Tl2 0.500 0.270 0.001
Tl3 0.500 0.001 0.270
Ag1 0.000 0.001 0.001

Computed properties:
- Space-group type: Amm2, No. 38
- Total DFT energy (no corrections): -4.637 eV/atom

=====

12.
# Gd2AgS3

A relaxed Gd2AgS3 crystal (PBE, OQMD).

Lattice parameters (Å, degrees): 8.618 3.825 15.649 90.00 90.00 90.00
Fractional positions:
Ag1 0.060 0.250 0.432
Ag2 0.560 0.250 0.068
Ag3 0.940 0.750 0.568
Ag4 0.440 0.750 0.932
S1 0.148 0.750 0.923
S2 0.648 0.750 0.577
S3 0.378 0.750 0.111
S4 0.352 0.250 0.423
S5 0.878 0.750 0.389
S6 0.622 0.250 0.266
S7 0.878 0.750 0.766
S8 0.122 0.250 0.234
S9 0.378 0.750 0.734
S10 0.622 0.250 0.889
S11 0.852 0.250 0.077
S12 0.122 0.250 0.611
Gd1 0.375 0.750 0.287
Gd2 0.625 0.250 0.713
Gd3 0.125 0.250 0.787
Gd4 0.830 0.750 0.944
Gd5 0.875 0.750 0.213
Gd6 0.170 0.250 0.056
Gd7 0.330 0.750 0.556
Gd8 0.670 0.250 0.444

Computed properties:
- Space-group type: Pnma, No. 62
- Total DFT energy (no corrections): -5.568 eV/atom